This record from the Alexandria database describes Ca4Fe9O17 after structural relaxation. The functional is GGA+U.

## Properties
The value obtained for the total energy is -6.656 eV per atom. Its theoretical density is 4.2 g/cm3. The value obtained for the spin magnetization is 44.000 μB per cell.

abc: 6.0907 6.0907 11.5708
angles: 82.53 82.53 59.93
Closest atoms and distances in Å follow each position.
Atoms (fractional coordinates):
O 0.8335 0.8353 0.0204  3 Fe 2.01-2.06
O 0.5950 0.6037 0.4063  3 Fe 2.03-2.10
O 0.8538 0.5722 0.8223  2 Fe 1.88-2.04
O 0.6088 0.0962 0.4053  3 Fe 2.03-2.12
O 0.4962 0.5038 0.0000  3 Fe 2.00-2.06
Ca 0.4599 0.4593 0.2501  6 O 2.27-2.51
Ca 0.7938 0.7946 0.2410  6 O 2.30-2.56
O 0.9032 0.9004 0.5991  4 Fe 2.01-2.10
Fe 0.2515 0.7485 0.5000  6 O 2.03-2.09
O 0.1647 0.1665 0.9796  3 Fe 2.01-2.06
O 0.4041 0.9029 0.5948  3 Fe 2.02-2.09
Fe 0.4963 0.1649 0.0002  5 O 2.04-2.06
Fe 0.1681 0.8319 0.0000  5 O 2.00-2.03
O 0.4278 0.1462 0.1777  2 Fe 1.88-2.04
O 0.0971 0.5959 0.4052  3 Fe 2.02-2.09
O 0.9038 0.3912 0.5947  3 Fe 2.03-2.12
Fe 0.2546 0.2486 0.4922  6 O 2.02-2.12
O 0.1465 0.8368 0.1767  2 Fe 1.89-2.03
Fe 0.1282 0.1299 0.2251  4 O 1.88-2.01
Fe 0.8701 0.8718 0.7749  4 O 1.88-2.01
O 0.8372 0.4311 0.1771  2 Fe 1.88-2.04
Fe 0.8351 0.5037 0.9998  5 O 2.04-2.06
O 0.1632 0.8535 0.8233  2 Fe 1.89-2.03
O 0.5689 0.1628 0.8229  2 Fe 1.88-2.04
Fe 0.7514 0.7454 0.5078  6 O 2.02-2.12
Ca 0.5407 0.5401 0.7499  6 O 2.27-2.51
O 0.0996 0.0968 0.4009  4 Fe 2.01-2.10
Fe 0.7482 0.2518 0.5000  6 O 2.03-2.10
O 0.3963 0.4050 0.5937  3 Fe 2.03-2.10
Ca 0.2054 0.2062 0.7590  6 O 2.30-2.56